Entry from Alexandria: a relaxed MgFe2O4 crystal (PBE with a Hubbard U).

- E_tot (eV/atom) = -6.455
- symmetry = No. 12

POSCAR file:
```
MgFe2O4
1.0
2.904 0.000 -0.795
-0.645 4.510 -2.357
0.021 0.015 5.781
Mg Fe O
1 2 4
direct
0.000 0.000 0.000
0.716 0.719 0.432
0.284 0.281 0.568
0.867 0.176 0.734
0.133 0.824 0.266
0.640 0.285 0.281
0.360 0.715 0.719
```